Entry 1:
## LaTmNi3 (GGA-PBE)

Data for a relaxed LaTmNi3 crystal.

a b c (Å): 3.9379 24.3442 4.0140
angles (deg): 90.00 90.00 90.00
Space group Cmcm (No. 63)
One atom of each set of equivalent atoms:
La 0.0000 0.0738 0.2500 [4 per cell]
Tm 0.0000 0.2060 0.7500 [4 per cell]
Ni 0.0000 0.3207 0.7500 [4 per cell]
Ni 0.0000 0.3750 0.2500 [4 per cell]
Ni 0.0000 0.4732 0.2500 [4 per cell]

**Total DFT energy (no corrections)**: -5.75 eV per atom
**Total moment**: 0.000 μB per cell
**Calculated formation energy**: -397 meV/atom


Entry 2:
## TlSi2As (GGA-PBE)

Data for a relaxed TlSi2As crystal.

a b c (Å): 6.0955 7.2646 3.6770
angles (deg): 90.00 90.00 90.00
Space group Cmmm (No. 65)
One atom of each set of equivalent atoms:
Tl 0.0000 0.0000 0.0000 [2 per cell]
Si 0.2500 0.2500 0.5000 [4 per cell]
As 0.0000 0.5000 0.0000 [2 per cell]

**Raw formation energy**: 0.646 eV/atom
**Total DFT energy (no corrections)**: -3.82 eV per atom
**E above lowest polymorph**: 9.17 kcal/mol of atoms
**Total moment**: 0.000 μB per cell


Entry 3:
## AlHg6F12 (GGA-PBE)

Data for a relaxed AlHg6F12 crystal.

a b c (Å): 10.4063 10.4063 10.0061
angles (deg): 90.00 90.00 120.00
Space group R-3 (No. 148, hexagonal axes)
One atom of each set of equivalent atoms:
Al 0.0000 0.0000 0.0000 [3 per cell]
Hg 0.0509 0.2594 0.6562 [18 per cell]
F 0.0299 0.2296 0.4022 [18 per cell]
F 0.0491 0.1663 0.8965 [18 per cell]

**Raw formation energy**: -1.698 eV/atom
**Total DFT energy (no corrections)**: -3.17 eV per atom
**Total moment**: 0.000 μB per cell


- Number 3 is which compound?
  AlHg6F12


- Number 1 is which compound?
  LaTmNi3